No. 1
Entry from the Alexandria database: an optimized crystal structure of Sr2RuO4 (PBE-GGA).

Output
Energy relative to the elements, uncorrected   -1.85 eV per atom
Magnetization   0.00 μB per formula unit
Space-group type   P2_1/m
Energy above the lowest structure with this stoichiometry   0.228 eV/atom

Cell lengths 6.1638, 5.6966, 6.9705 Å; angles 90.00, 108.42, 90.00 degrees
Fractional positions:
Sr  0.1899  0.2500  0.0388
Sr  0.2652  0.2500  0.5634
Sr  0.7348  0.7500  0.4366
Sr  0.8101  0.7500  0.9612
Ru  0.2743  0.7500  0.8021
Ru  0.7257  0.2500  0.1979
O  0.0244  0.5239  0.7482
O  0.0244  0.9761  0.7482
O  0.4392  0.7500  0.0780
O  0.4582  0.7500  0.6362
O  0.5418  0.2500  0.3638
O  0.5608  0.2500  0.9220
O  0.9756  0.0239  0.2518
O  0.9756  0.4761  0.2518


No. 2
Entry from the Alexandria database: an optimized crystal structure of SrRuO3 (PBE-GGA).

Output
Energy relative to the elements, uncorrected   -1.72 eV per atom
Magnetization   0.00 μB per formula unit
Space-group type   P2_1/m

Cell lengths 6.2229, 3.2511, 6.6077 Å; angles 90.00, 103.60, 90.00 degrees
Fractional positions:
Sr  0.1544  0.2500  0.2969
Sr  0.8456  0.7500  0.7031
Ru  0.3612  0.7500  0.8673
Ru  0.6388  0.2500  0.1327
O  0.1615  0.2500  0.8960
O  0.2236  0.7500  0.5811
O  0.4405  0.7500  0.1858
O  0.5595  0.2500  0.8142
O  0.7764  0.2500  0.4189
O  0.8385  0.7500  0.1040


No. 3
Entry from the Alexandria database: an optimized crystal structure of SrRuO3 (PBE-GGA).

Output
Energy relative to the elements, uncorrected   -1.70 eV per atom
Magnetization   0.00 μB per formula unit
Space-group type   Cmmm

Cell lengths 6.3386, 6.3386, 3.8990 Å; angles 90.00, 90.00, 127.12 degrees
Fractional positions:
Sr  0.1497  0.8503  0.0000
Sr  0.8503  0.1497  0.0000
Ru  0.3887  0.6113  0.5000
Ru  0.6113  0.3887  0.5000
O  0.0000  0.5000  0.5000
O  0.2269  0.2269  0.5000
O  0.3719  0.6281  0.0000
O  0.5000  0.0000  0.5000
O  0.6281  0.3719  0.0000
O  0.7731  0.7731  0.5000


No. 4
Entry from the Alexandria database: an optimized crystal structure of Sr2Ru2O7 (PBE-GGA).

Output
Energy relative to the elements, uncorrected   -1.65 eV per atom
Magnetization   0.19 μB per formula unit
Space-group type   Fd-3m
Energy above the lowest structure with this stoichiometry   0.000 eV/atom

Cell lengths 7.4460, 7.4460, 7.4460 Å; angles 60.00, 60.00, 60.00 degrees
Fractional positions:
Sr  0.0000  0.0000  0.0000
Sr  0.0000  0.0000  0.5000
Sr  0.0000  0.5000  0.0000
Sr  0.5000  0.0000  0.0000
Ru  0.0000  0.5000  0.5000
Ru  0.5000  0.0000  0.5000
Ru  0.5000  0.5000  0.0000
Ru  0.5000  0.5000  0.5000
O  0.1250  0.1250  0.1250
O  0.1862  0.1862  0.5638
O  0.1862  0.5638  0.1862
O  0.1862  0.5638  0.5638
O  0.4362  0.4362  0.8138
O  0.4362  0.8138  0.4362
O  0.4362  0.8138  0.8138
O  0.5638  0.1862  0.1862
O  0.5638  0.1862  0.5638
O  0.5638  0.5638  0.1862
O  0.8138  0.4362  0.4362
O  0.8138  0.4362  0.8138
O  0.8138  0.8138  0.4362
O  0.8750  0.8750  0.8750


No. 5
Entry from the Alexandria database: an optimized crystal structure of Sr2Ru2O7 (PBE-GGA).

Output
Energy relative to the elements, uncorrected   -1.38 eV per atom
Magnetization   0.00 μB per formula unit
Space-group type   Cmmm
Energy above the lowest structure with this stoichiometry   0.262 eV/atom

Cell lengths 5.0868, 5.0868, 5.4520 Å; angles 90.00, 90.00, 97.34 degrees
Fractional positions:
Sr  0.2324  0.2324  0.0000
Sr  0.7676  0.7676  0.0000
Ru  0.2795  0.7205  0.5000
Ru  0.7205  0.2795  0.5000
O  0.0000  0.0000  0.5000
O  0.0000  0.5000  0.2809
O  0.0000  0.5000  0.7191
O  0.5000  0.0000  0.2809
O  0.5000  0.0000  0.7191
O  0.5000  0.5000  0.2998
O  0.5000  0.5000  0.7002


No. 6
Entry from the Alexandria database: an optimized crystal structure of SrRu2O (PBE-GGA).

Output
Energy relative to the elements, uncorrected   0.00 eV per atom
Magnetization   0.00 μB per formula unit
Space-group type   I-42d

Cell lengths 6.8913, 6.8913, 6.4018 Å; angles 90.00, 90.00, 90.00 degrees
Fractional positions:
Sr  0.0000  0.0000  0.0000
Sr  0.0000  0.5000  0.2500
Sr  0.5000  0.0000  0.7500
Sr  0.5000  0.5000  0.5000
Ru  0.0736  0.2500  0.6250
Ru  0.2500  0.5736  0.8750
Ru  0.2500  0.9264  0.3750
Ru  0.4264  0.2500  0.1250
Ru  0.5736  0.7500  0.1250
Ru  0.7500  0.0736  0.3750
Ru  0.7500  0.4264  0.8750
Ru  0.9264  0.7500  0.6250
O  0.0000  0.0000  0.5000
O  0.0000  0.5000  0.7500
O  0.5000  0.0000  0.2500
O  0.5000  0.5000  0.0000